Entry 1:
The following is a PBE calculation of an optimized crystal structure of CaGa3Ni, from Alexandria via LeMat-Bulk.

Cell and atoms, written as extended XYZ:
```
5
Lattice="5.411 0.000 0.000 0.000 5.411 0.000 0.000 0.000 5.411" Properties=species:S:1:pos:R:3 pbc="T T T"
Ca 0.000 0.000 0.000
Ga 0.000 0.000 2.705
Ga 0.000 2.705 0.000
Ga 2.705 0.000 0.000
Ni 2.705 2.705 2.705
```

Values from the calculation:
* E_tot: -2.082 eV per atom
* SG: Pm-3m (221)
* spin magnetization: 0.0 μB/cell

---

Entry 2:
The following is a PBE calculation of an optimized crystal structure of CaGa4Ni6, from Alexandria via LeMat-Bulk.

Cell and atoms, written as extended XYZ:
```
11
Lattice="6.873 0.000 0.000 -3.437 5.953 0.000 0.000 0.000 3.788" Properties=species:S:1:pos:R:3 pbc="T T T"
Ca 0.000 0.000 0.000
Ga 0.000 2.358 1.894
Ga -1.395 4.774 1.894
Ga 1.395 4.774 1.894
Ga 3.437 1.984 0.000
Ni -1.362 3.182 0.000
Ni 2.140 1.236 1.894
Ni 1.362 3.182 0.000
Ni 0.000 5.542 0.000
Ni 4.733 1.236 1.894
Ni 3.437 3.481 1.894
```

Values from the calculation:
* E_tot: -4.812 eV per atom
* SG: P-6m2 (187)
* spin magnetization: 0.0 μB/cell